(1)
Entry from the Alexandria database: BaLi2CaHg4 after structural relaxation (PBE).

Calculated values
energy relative to the elements	-0.413	eV/atom

POSCAR file:
```
BaLi2CaHg4
1.0
-4.3811 -1.9744 -1.0931
-1.1845 -4.4682 1.7087
-5.9237 2.1786 8.6976
Ba Li Ca Hg
1 2 1 4
Direct
0.0000 0.0000 0.0000
0.7631 0.7631 0.7108
0.2369 0.2369 0.2892
0.5000 0.5000 0.5000
0.3994 0.3994 0.8017
0.8822 0.8822 0.3534
0.1178 0.1178 0.6466
0.6006 0.6006 0.1983
```

=====

(2)
Entry from the Alexandria database: Pm4Sn8Ir after structural relaxation (PBE).

Calculated values
energy relative to the elements	-0.618	eV/atom

POSCAR file:
```
Pm4Sn8Ir
1.0
4.4770 0.0000 0.0000
0.0000 4.5374 0.0000
0.0000 0.0000 17.1146
Pm Sn Ir
4 8 1
Direct
0.0000 0.0000 0.0950
0.0000 0.5000 0.6067
0.5000 0.5000 0.3929
0.5000 0.0000 0.8988
0.0000 0.0000 0.4631
0.0000 0.5000 0.9332
0.5000 0.5000 0.0544
0.5000 0.0000 0.5774
0.0000 0.5000 0.2321
0.0000 0.0000 0.7519
0.5000 0.0000 0.2307
0.5000 0.5000 0.7546
0.0000 0.0000 0.3124
```

=====

(3)
Entry from the Alexandria database: Mn2InIr after structural relaxation (PBE).

Calculated values
energy relative to the elements	0.095	eV/atom

POSCAR file:
```
Mn2InIr
1.0
-1.5902 0.0772 4.6871
1.2922 -0.8350 4.7050
1.2796 4.0761 1.6822
In Ir Mn
1 1 2
Direct
0.5041 0.5041 0.4926
0.2588 0.2588 0.2425
0.9920 0.9920 0.9976
0.7451 0.7451 0.7673
```